10
Lattice="-5.243 0.331 2.947 -6.012 -3.731 -4.120 -1.023 -6.362 5.052" Properties=species:S:1:pos:R:3 comment="La4DyHo5 | Alexandria via LeMat-Bulk | PBE | relaxed" magnetic_moment_mub_per_atom=0.000 polymorph_energy_ev_per_atom=0.034 spacegroup="I4mm, No. 107" energy_ev_per_atom=-4.492 delta_e_f_ev_per_atom=0.228 crystal_system=tetragonal pbc="T T T"
Ho -4.383 -2.144 4.150
La -2.942 -3.214 0.679
La -4.997 -5.364 3.422
Ho -6.263 -1.153 0.695
La -6.767 -4.430 0.168
Ho -1.367 -3.920 3.559
Dy -1.110 0.070 0.624
Ho -4.477 -2.280 -2.158
La -8.821 -6.581 2.911
Ho -3.625 0.229 2.037